VASP calculation (PBE-GGA) on a relaxed structure of Sm6Cd3Ru.

Cell: 9.207 5.403 11.643 Å, 90.00 108.39 90.00°
Space group P2_1/m (No. 11)
Asymmetric unit:
Sm 0.036 0.250 0.416 (multiplicity 2)
Sm 0.186 0.750 0.162 (multiplicity 2)
Sm 0.278 0.250 0.000 (multiplicity 2)
Sm 0.350 0.750 0.832 (multiplicity 2)
Sm 0.376 0.250 0.348 (multiplicity 2)
Sm 0.397 0.250 0.650 (multiplicity 2)
Cd 0.008 0.750 0.868 (multiplicity 2)
Cd 0.083 0.250 0.717 (multiplicity 2)
Cd 0.270 0.750 0.471 (multiplicity 2)
Ru 0.462 0.750 0.093 (multiplicity 2)

Magnetic moment, Bohr magnetons per cell: 0.0
Energy of formation, meV per atom: -229.6
E_tot, eV for the cell shown: -85.3



VASP calculation (PBE-GGA) on a relaxed structure of Sm8Cd2Ru.

Cell: 17.737 5.500 7.069 Å, 90.00 110.01 90.00°
Space group C2/m (No. 12)
Asymmetric unit:
Sm 0.019 0.000 0.284 (multiplicity 4)
Sm 0.094 0.500 0.915 (multiplicity 4)
Sm 0.150 0.500 0.443 (multiplicity 4)
Sm 0.197 0.000 0.775 (multiplicity 4)
Cd 0.183 0.000 0.201 (multiplicity 4)
Ru 0.000 0.500 0.500 (multiplicity 2)

Magnetic moment, Bohr magnetons per cell: 0.0
Energy of formation, meV per atom: -152.5
E_tot, eV for the cell shown: -101.1